1.
First-principles (PBE-GGA) data for crystalline NaCeSi at its relaxed geometry, as listed in Alexandria via LeMat-Bulk.

Lattice parameters (Å, degrees): 4.6643 4.6643 26.7053 90.00 90.00 120.00
With the nearest neighbours (Å) after each atom.
Space group R-3m (No. 166, hexagonal axes)
Unique sites:
Na1 0.0000 0.0000 0.1321  3 Si 3.02, 3 Na 3.27
Ce1 0.0000 0.0000 0.2943  4 Si 2.91-3.19
Si1 0.0000 0.0000 0.4138  4 Ce 2.91-3.19, 3 Na 3.02

Values from the calculation:
E_form (uncorrected)   -0.025 eV/atom
Uncorrected energy   -4.250 eV per atom

=====

2.
First-principles (PBE-GGA) data for crystalline NaCeSm2 at its relaxed geometry, as listed in Alexandria via LeMat-Bulk.

Lattice parameters (Å, degrees): 4.1981 4.1981 30.5493 90.00 90.00 120.00
With the nearest neighbours (Å) after each atom.
Space group R-3m (No. 166, hexagonal axes)
Unique sites:
Na1 0.0000 0.0000 0.0000  2 Sm 3.54
Ce1 0.0000 0.0000 0.5000  6 Sm 2.88
Sm1 0.0000 0.0000 0.1158  3 Ce 2.88

Values from the calculation:
Energy of formation from the pure elements   0.79 eV per atom
Energy relative to the lowest polymorph listed for this composition   661 meV per atom
Uncorrected energy   -3.379 eV per atom

=====

3.
First-principles (PBE-GGA) data for crystalline NaCe2Sm at its relaxed geometry, as listed in Alexandria via LeMat-Bulk.

Lattice parameters (Å, degrees): 3.3861 3.3861 38.7218 90.00 90.00 120.00
With the nearest neighbours (Å) after each atom.
Space group R-3m (No. 166, hexagonal axes)
Unique sites:
Na1 0.0000 0.0000 0.0000  6 Na 3.39, 2 Ce 3.50
Ce1 0.0000 0.0000 0.0905  6 Ce 3.39, 1 Na 3.50, 3 Sm 3.54
Sm1 0.0000 0.0000 0.5000  6 Sm 3.39, 6 Ce 3.54

Values from the calculation:
Energy of formation from the pure elements   0.25 eV per atom
Uncorrected energy   -4.225 eV per atom

=====

4.
First-principles (PBE-GGA) data for crystalline NaCeSm at its relaxed geometry, as listed in Alexandria via LeMat-Bulk.

Lattice parameters (Å, degrees): 6.5628 3.7453 16.7390 90.00 97.86 90.00
With the nearest neighbours (Å) after each atom.
Space group C2/m (No. 12)
Unique sites:
Na1 0.1931 0.0000 0.0932  9 Na 3.74-3.80, 3 Sm 3.76-3.78
Ce1 0.1825 0.5000 0.5486  3 Ce 2.71
Sm1 0.0857 0.5000 0.2793  3 Ce 3.58-3.59, 6 Sm 3.75-3.78, 3 Na 3.76-3.78

Values from the calculation:
Energy of formation from the pure elements   0.16 eV per atom
Uncorrected energy   -3.832 eV per atom

=====

5.
First-principles (PBE-GGA) data for crystalline NaCeSm2 at its relaxed geometry, as listed in Alexandria via LeMat-Bulk.

Lattice parameters (Å, degrees): 3.5226 3.5226 10.6133 90.00 90.00 90.00
With the nearest neighbours (Å) after each atom.
Space group P4/mmm (No. 123)
Unique sites:
Na1 0.0000 0.0000 0.0000  4 Na 3.52, 8 Sm 3.84
Ce1 0.0000 0.0000 0.5000  8 Sm 3.45, 4 Ce 3.52
Sm1 0.5000 0.5000 0.2757  4 Ce 3.45, 4 Sm 3.52, 4 Na 3.84

Values from the calculation:
Energy of formation from the pure elements   0.13 eV per atom
Energy relative to the lowest polymorph listed for this composition   0 meV per atom
Uncorrected energy   -4.040 eV per atom

=====

6.
First-principles (PBE-GGA) data for crystalline NaCe3Sm4Te8 at its relaxed geometry, as listed in Alexandria via LeMat-Bulk.

Lattice parameters (Å, degrees): 15.4808 8.9378 8.9635 90.00 125.14 90.00
With the nearest neighbours (Å) after each atom.
Space group C2/m (No. 12)
Unique sites:
Na1 0.0000 0.0000 0.0000  6 Te 3.15-3.17
Ce1 0.0000 0.5000 0.0000  6 Te 3.18
Ce2 0.2500 0.2500 0.0000  6 Te 3.18
Sm1 0.0000 0.0000 0.5000  6 Te 3.15
Sm2 0.0000 0.5000 0.5000  6 Te 3.16-3.18
Sm3 0.2500 0.2500 0.5000  6 Te 3.15
Te1 0.0014 0.2473 0.2517  3 Sm 3.15-3.18, 1 Na 3.15, 2 Ce 3.18
Te2 0.2487 0.0000 0.7462  3 Sm 3.15, 3 Ce 3.18
Te3 0.2500 0.0000 0.2529  3 Sm 3.15-3.16, 1 Na 3.17, 2 Ce 3.18

Values from the calculation:
E_form (uncorrected)   -1.371 eV/atom
Uncorrected energy   -5.317 eV per atom